Compound: SiC
Source: Alexandria
Functional: PBE-GGA
Structure: optimized geometry

It has space group C2/c (No. 15), with a = 4.9778 Å, b = 10.5793 Å, c = 2.5011 Å, α = 90.00°, β = 112.32° and γ = 90.00°. The distinct sites, in fractional coordinates, are Si at (0.0000, 0.2125, 0.2500) and C at (0.0000, 0.0316, 0.2500).

As for the total energy: -6.907 eV per atom. The total moment comes out at 0.0 μB/f.u. As for the crystal system: monoclinic. Its density is 2.19 g/cm3. Its offset from the most stable computed form is 0.6226 eV per atom. The calculated volume comes out at 15.23 A^3/atom. Its formation energy from raw total energies is 416 meV/atom.